A.
Here is a geometry-optimized LiTl2Sb structure from Alexandria. Energies are from GGA-PBE.

Unit cell a=4.7412 b=4.7550 c=4.7565 alpha=90.00 beta=90.00 gamma=90.00
Space group Pmmm (No. 47)
Asymmetric unit:
Li: 0.0000 0.0000 0.0000
Tl: 0.0000 0.5000 0.5000
Tl: 0.5000 0.5000 0.0000
Sb: 0.5000 0.0000 0.5000

Output
DOS at the Fermi energy, states/eV/atom: 0.449



B.
Here is a geometry-optimized LiTl2Sb structure from Alexandria. Energies are from GGA-PBE.

Unit cell a=11.7711 b=3.4945 c=5.3849 alpha=90.00 beta=98.42 gamma=90.00
Space group C2/m (No. 12)
Asymmetric unit:
Li: 0.0000 0.0000 0.0000
Tl: 0.2427 0.0000 0.7490
Sb: 0.0000 0.5000 0.5000

Output
DOS at the Fermi energy, states/eV/atom: 0.433



The structure with the least stability is B.



A.
Here is a geometry-optimized LiTl2Sb structure from Alexandria. Energies are from GGA-PBE.

Unit cell a=3.4327 b=4.5645 c=7.3097 alpha=90.00 beta=93.15 gamma=90.00
Space group Pm (No. 6)
Asymmetric unit:
Li: 0.0000 0.0000 0.0000
Tl: 0.4881 0.0000 0.3834
Tl: 0.9943 0.5000 0.6700
Sb: 0.5146 0.5000 0.0526

Output
DOS at the Fermi energy, states/eV/atom: 0.233



B.
Here is a geometry-optimized LiTl2Sb structure from Alexandria. Energies are from GGA-PBE.

Unit cell a=7.6376 b=7.6376 c=7.6376 alpha=90.00 beta=90.00 gamma=90.00
Space group F-43m (No. 216)
Asymmetric unit:
Li: 0.0000 0.0000 0.0000
Tl: 0.0000 0.0000 0.5000
Tl: 0.2500 0.2500 0.7500
Sb: 0.2500 0.2500 0.2500

Output
DOS at the Fermi energy, states/eV/atom: 0.167



C.
Here is a geometry-optimized LiTl2Sb structure from Alexandria. Energies are from GGA-PBE.

Unit cell a=3.4066 b=4.1688 c=7.7403 alpha=90.00 beta=90.00 gamma=90.00
Space group Pmm2 (No. 25)
Asymmetric unit:
Li: 0.0000 0.0000 0.0000
Tl: 0.0000 0.0000 0.4236
Tl: 0.5000 0.5000 0.7325
Sb: 0.5000 0.5000 0.1525

Output
DOS at the Fermi energy, states/eV/atom: 0.435



D.
Here is a geometry-optimized LiTl2Sb structure from Alexandria. Energies are from GGA-PBE.

Unit cell a=3.4090 b=3.4090 c=8.9708 alpha=90.00 beta=90.00 gamma=90.00
Space group P4mm (No. 99)
Asymmetric unit:
Li: 0.0000 0.0000 0.0000
Tl: 0.0000 0.0000 0.4817
Tl: 0.5000 0.5000 0.7804
Sb: 0.5000 0.5000 0.1911

Output
DOS at the Fermi energy, states/eV/atom: 0.386



The structure with the least stability is B.